No. 1
Entry from Alexandria via LeMat-Bulk: Li2Ag3 at its PBEsol-relaxed geometry (SCAN).

Structure (POSCAR):
```
Li2Ag3
1.0
-2.033 -0.098 2.021
-2.414 -1.477 -0.465
3.248 -9.614 4.837
Ag Li
3 2
direct
0.000 0.000 0.000 Ag
0.202 0.202 0.393 Ag
0.798 0.798 0.607 Ag
0.600 0.600 0.199 Li
0.400 0.400 0.801 Li
```

Output
ΔH_f (0 K), eV/atom: -0.124
DOS(E_F), states/eV/cell: 1.70

No. 2
Entry from Alexandria via LeMat-Bulk: LiMg2Ag at its PBEsol-relaxed geometry (SCAN).

Structure (POSCAR):
```
LiMg2Ag
1.0
4.659 0.000 0.000
2.329 4.035 0.000
2.329 1.345 3.804
Mg Ag Li
2 1 1
direct
0.750 0.750 0.750 Mg
0.250 0.250 0.250 Mg
0.500 0.500 0.500 Ag
0.000 0.000 0.000 Li
```

Output
ΔH_f (0 K), eV/atom: -0.272
DOS(E_F), states/eV/cell: 1.05

No. 3
Entry from Alexandria via LeMat-Bulk: LiMgAg at its PBEsol-relaxed geometry (SCAN).

Structure (POSCAR):
```
LiMgAg
1.0
-2.991 -0.647 0.361
0.844 -2.431 2.638
0.743 4.802 1.613
Mg Ag Li
1 1 1
direct
0.338 0.338 0.676 Mg
0.007 0.007 0.014 Ag
0.655 0.655 0.310 Li
```

Output
ΔH_f (0 K), eV/atom: -0.214
DOS(E_F), states/eV/cell: 0.92

- Which of these has the lowest ΔH_f (0 K)?
  LiMg2Ag

- The highest ΔH_f (0 K) belongs to which entry?
  Li2Ag3